The following is a GGA-PBE calculation of an optimized crystal structure of RbTl2Cu, from Alexandria via LeMat-Bulk.

Output
Magnetic moment in μB per cell: 0.000
Energy in eV per atom: -2.349
Density in Mg/m³: 6.98
Energy of formation in eV/atom: 0.100
SG: R-3m (166)

Geometry as extended XYZ:
```
4
Lattice="4.299 0.000 0.000 2.149 3.723 0.000 2.149 1.241 8.287" Properties=species:S:1:pos:R:3 pbc="T T T"
Cu 0.000 0.000 0.000
Rb 4.299 2.482 4.143
Tl 2.149 1.241 1.308
Tl 6.448 3.723 6.979
```